# La2Be3CoNi12, relaxed, DFT PBE
data_La2Be3CoNi12
_space_group_name_H-M_alt 'R -3 m'
_space_group_IT_number 166
_space_group_name_Hall '-R 3 2"'
_cell_length_a 7.2672
_cell_length_b 7.2672
_cell_length_c 17.2158
_cell_angle_alpha 90.00
_cell_angle_beta 90.00
_cell_angle_gamma 120.00
loop_
_atom_site_label
_atom_site_fract_x
_atom_site_fract_y
_atom_site_fract_z
La1 0.0000 0.0000 0.1125
Be1 0.0000 0.5000 0.0000
Co1 0.0000 0.0000 0.5000
Ni1 0.0014 0.5007 0.8794
Ni2 0.0378 0.5189 0.3667
# - mass density (Mg/m³) = 6.758
# - formation enthalpy at 0 K (eV/atom) = 0.250
# - DOS(E_F) (states/eV/cell) = 40.4

# Pr2NdYH, relaxed, DFT PBE
data_Pr2NdYH
_space_group_name_H-M_alt 'P 4/m m m'
_space_group_IT_number 123
_space_group_name_Hall '-P 4 2'
_cell_length_a 5.194
_cell_length_b 5.194
_cell_length_c 5.107
_cell_angle_alpha 90.00
_cell_angle_beta 90.00
_cell_angle_gamma 90.00
loop_
_atom_site_label
_atom_site_fract_x
_atom_site_fract_y
_atom_site_fract_z
Pr1 0.000 0.500 0.000
Nd1 0.000 0.000 0.500
Y1 0.500 0.500 0.500
H1 0.500 0.500 0.000
# - mass density (Mg/m³) = 6.219
# - DOS(E_F) (states/eV/cell) = 4.1
# - final energy (eV/atom) = -5.00

# NaNd2Ga, relaxed, DFT PBE
data_NaNd2Ga
_space_group_name_H-M_alt 'R -3 m'
_space_group_IT_number 166
_space_group_name_Hall '-R 3 2"'
_cell_length_a 3.6856
_cell_length_b 3.6856
_cell_length_c 34.9400
_cell_angle_alpha 90.00
_cell_angle_beta 90.00
_cell_angle_gamma 120.00
loop_
_atom_site_label
_atom_site_fract_x
_atom_site_fract_y
_atom_site_fract_z
Na1 0.0000 0.0000 0.0000
Nd1 0.0000 0.0000 0.1051
Ga1 0.0000 0.0000 0.5000
# - mass density (Mg/m³) = 4.620
# - formation enthalpy at 0 K (eV/atom) = -0.051
# - DOS(E_F) (states/eV/cell) = 11.1
# - polymorph energy (0 for the lowest one) (kcal/mol of atoms) = 2.979